1.
A relaxed structure of Fe3SiC. Source: Alexandria via LeMat-Bulk, functional PBE.

a b c (Å): 3.690 3.690 3.690
angles (deg): 90.00 90.00 90.00
Fractional positions:
C 0.000 0.000 0.000
Si 0.500 0.500 0.500
Fe 0.000 0.500 0.000
Fe 0.000 0.000 0.500
Fe 0.500 0.000 0.000

Properties
Raw total energy = -40.37 eV per cell

***

2.
A relaxed structure of FeSiC. Source: Alexandria via LeMat-Bulk, functional PBE.

a b c (Å): 2.622 2.651 4.633
angles (deg): 73.42 73.54 90.00
Fractional positions:
C 0.157 0.876 0.200
Si 0.828 0.046 0.859
Fe 0.569 0.288 0.377

Properties
Raw total energy = -22.04 eV per cell
Relative energy among the computed polymorphs = 0.127 eV per atom

***

3.
A relaxed structure of FeSiC3. Source: Alexandria via LeMat-Bulk, functional PBE.

a b c (Å): 3.747 3.747 3.747
angles (deg): 90.00 90.00 90.00
Fractional positions:
C 0.000 0.500 0.000
C 0.000 0.000 0.500
C 0.500 0.000 0.000
Si 0.500 0.500 0.500
Fe 0.000 0.000 0.000

Properties
Raw total energy = -31.20 eV per cell
Relative energy among the computed polymorphs = 1.513 eV per atom

***

Number 1: formation energy (no corrections) -1.53 kcal/mol of atoms, total magnetization 0.000 μB/atom, theoretical density 6.86 g/cm³. Number 2: formation energy (no corrections) 8.21 kcal/mol of atoms, total magnetization 0.025 μB/atom, theoretical density 5.40 g/cm³. Number 3: formation energy (no corrections) 47.78 kcal/mol of atoms, total magnetization 0.000 μB/atom, theoretical density 3.79 g/cm³.